# 1
A relaxed structure of Pm2Y6Tm3Mg, computed with GGA-PBE.

Lattice parameters (Å, degrees): 6.131 10.626 11.738 90.00 100.09 90.00
Space group C2/m (No. 12)
Unique sites:
Pm1 0.000 0.167 0.000 x4
Y1 0.248 0.500 0.747 x4
Y2 0.249 0.334 0.252 x8
Tm1 0.000 0.000 0.500 x2
Tm2 0.000 0.335 0.500 x4
Mg1 0.000 0.500 0.000 x2

---

# 2
A relaxed structure of Pm2Y4TmMg, computed with GGA-PBE.

Lattice parameters (Å, degrees): 5.006 4.994 10.096 90.00 90.05 90.00
Space group P2/m (No. 10)
Unique sites:
Pm1 0.000 0.000 0.000 x1
Pm2 0.500 0.500 0.500 x1
Y1 0.000 0.500 0.251 x2
Y2 0.499 0.000 0.250 x2
Tm1 0.500 0.500 0.000 x1
Mg1 0.000 0.000 0.500 x1

---

# 3
A relaxed structure of PmTmMgZr, computed with GGA-PBE.

Lattice parameters (Å, degrees): 7.590 7.590 7.590 90.00 90.00 90.00
Space group F-43m (No. 216)
Unique sites:
Pm1 0.000 0.000 0.000 x4
Tm1 0.000 0.000 0.500 x4
Mg1 0.250 0.250 0.750 x4
Zr1 0.250 0.250 0.250 x4

---

# 4
A relaxed structure of Pm2MgV, computed with GGA-PBE.

Lattice parameters (Å, degrees): 3.694 3.694 7.929 90.00 90.00 90.00
Space group P4/mmm (No. 123)
Unique sites:
Pm1 0.000 0.000 0.224 x2
Mg1 0.500 0.500 0.500 x1
V1 0.500 0.500 0.000 x1

---

# 5
A relaxed structure of Pm2MgV, computed with GGA-PBE.

Lattice parameters (Å, degrees): 3.2804 3.2804 34.8038 90.00 90.00 120.00
Space group R-3m (No. 166, hexagonal axes)
Unique sites:
Pm1 0.0000 0.0000 0.0815 x6
Mg1 0.0000 0.0000 0.5000 x3
V1 0.0000 0.0000 0.0000 x3

---

# 6
A relaxed structure of Pm8Y2Mg, computed with GGA-PBE.

Lattice parameters (Å, degrees): 5.629 7.734 17.155 90.00 90.00 90.00
Space group Immm (No. 71)
Unique sites:
Pm1 0.000 0.000 0.176 x4
Pm2 0.000 0.219 0.366 x8
Pm3 0.000 0.267 0.000 x4
Y1 0.000 0.500 0.195 x4
Mg1 0.000 0.500 0.500 x2

---

# 7
A relaxed structure of PmY6Mg, computed with GGA-PBE.

Lattice parameters (Å, degrees): 11.241 5.058 9.872 90.00 115.98 90.00
Space group C2/m (No. 12)
Unique sites:
Pm1 0.000 0.000 0.000 x2
Y1 0.003 0.500 0.747 x4
Y2 0.244 0.000 0.377 x4
Y3 0.250 0.000 0.871 x4
Mg1 0.000 0.000 0.500 x2

---

# 8
A relaxed structure of PmYMg6, computed with GGA-PBE.

Lattice parameters (Å, degrees): 5.203 6.744 11.667 90.00 90.00 90.00
Space group Amm2 (No. 38)
Unique sites:
Pm1 0.000 0.000 0.000 x2
Y1 0.500 0.000 0.332 x2
Mg1 0.000 0.000 0.503 x2
Mg2 0.000 0.245 0.748 x4
Mg3 0.500 0.000 0.828 x2
Mg4 0.500 0.242 0.585 x4

---

# 9
A relaxed structure of Pm4Y5Mg2, computed with GGA-PBE.

Lattice parameters (Å, degrees): 9.031 21.333 3.624 90.00 90.00 90.00
Space group Pbam (No. 55)
Unique sites:
Pm1 0.068 0.147 0.000 x4
Pm2 0.216 0.424 0.000 x4
Y1 0.000 0.000 0.500 x2
Y2 0.129 0.565 0.500 x4
Y3 0.248 0.780 0.500 x4
Mg1 0.042 0.690 0.000 x4

---

# 10
A relaxed structure of Pm2YMg4, computed with GGA-PBE.

Lattice parameters (Å, degrees): 5.3818 5.3818 23.6043 90.00 90.00 120.00
Space group R-3m (No. 166, hexagonal axes)
Unique sites:
Pm1 0.0000 0.0000 0.2146 x6
Y1 0.0000 0.0000 0.5000 x3
Mg1 0.0000 0.0000 0.0699 x6
Mg2 0.0000 0.0000 0.3620 x6

---

# 11
A relaxed structure of PmYMg3, computed with GGA-PBE.

Lattice parameters (Å, degrees): 6.2991 6.2991 24.5850 90.00 90.00 120.00
Space group R-3m (No. 166, hexagonal axes)
Unique sites:
Pm1 0.0000 0.0000 0.0688 x6
Y1 0.0000 0.0000 0.3347 x6
Mg1 0.0087 0.5044 0.8818 x18

---

# 12
A relaxed structure of PmY5Mg6, computed with GGA-PBE.

Lattice parameters (Å, degrees): 5.397 16.195 7.604 90.00 90.00 90.00
Space group Cmmm (No. 65)
Unique sites:
Pm1 0.000 0.000 0.000 x2
Y1 0.000 0.000 0.500 x2
Y2 0.000 0.332 0.000 x4
Y3 0.000 0.334 0.500 x4
Mg1 0.000 0.168 0.252 x8
Mg2 0.000 0.500 0.251 x4

---

# 13
A relaxed structure of Pm2YMg8, computed with GGA-PBE.

Lattice parameters (Å, degrees): 5.253 7.508 14.975 90.00 90.00 90.00
Space group Immm (No. 71)
Unique sites:
Pm1 0.000 0.000 0.204 x4
Y1 0.000 0.000 0.500 x2
Mg1 0.000 0.212 0.000 x4
Mg2 0.000 0.297 0.362 x8
Mg3 0.000 0.500 0.156 x4

---

# 14
A relaxed structure of Pm7Y3Mg, computed with GGA-PBE.

Lattice parameters (Å, degrees): 11.574 10.300 6.455 90.00 92.73 90.00
Space group C2/m (No. 12)
Unique sites:
Pm1 0.000 0.000 0.000 x2
Pm2 0.234 0.168 0.264 x8
Pm3 0.243 0.500 0.213 x4
Y1 0.000 0.335 0.000 x4
Y2 0.000 0.500 0.500 x2
Mg1 0.000 0.000 0.500 x2

---

# 15
A relaxed structure of PmYMg4, computed with GGA-PBE.

Lattice parameters (Å, degrees): 8.592 8.592 8.592 90.00 90.00 90.00
Space group F-43m (No. 216)
Unique sites:
Pm1 0.000 0.000 0.000 x4
Y1 0.250 0.250 0.750 x4
Mg1 0.125 0.125 0.375 x16

---

# 16
A relaxed structure of Pm9Y4Mg11, computed with GGA-PBE.

Lattice parameters (Å, degrees): 16.513 22.984 3.680 90.00 90.00 90.00
Space group Cmmm (No. 65)
Unique sites:
Pm1 0.000 0.000 0.000 x2
Pm2 0.113 0.235 0.000 x8
Pm3 0.116 0.409 0.000 x8
Y1 0.163 0.086 0.000 x8
Mg1 0.000 0.133 0.500 x4
Mg2 0.000 0.324 0.500 x4
Mg3 0.000 0.500 0.500 x2
Mg4 0.225 0.500 0.500 x4
Mg5 0.233 0.322 0.500 x8

---

# 17
A relaxed structure of PmYMg, computed with GGA-PBE.

Lattice parameters (Å, degrees): 3.758 3.758 12.771 90.00 90.00 90.00
Space group I4mm (No. 107)
Unique sites:
Pm1 0.000 0.000 0.000 x2
Y1 0.000 0.000 0.687 x2
Mg1 0.000 0.000 0.339 x2

---

# 18
A relaxed structure of PmYMg2, computed with GGA-PBE.

Lattice parameters (Å, degrees): 3.4817 3.4817 33.4229 90.00 90.00 120.00
Space group R3m (No. 160, hexagonal axes)
Unique sites:
Pm1 0.0000 0.0000 0.0000 x3
Y1 0.0000 0.0000 0.1692 x3
Mg1 0.0000 0.0000 0.5834 x3
Mg2 0.0000 0.0000 0.7529 x3

---

# 19
A relaxed structure of Pm2Y2Mg, computed with GGA-PBE.

Lattice parameters (Å, degrees): 5.223 5.223 24.921 90.00 90.00 90.00
Space group I4_1/amd (No. 141, origin choice 2)
Unique sites:
Pm1 0.000 0.250 0.046 x8
Y1 0.000 0.250 0.198 x8
Mg1 0.000 0.250 0.875 x4

---

# 20
A relaxed structure of PmY2Mg2, computed with GGA-PBE.

Lattice parameters (Å, degrees): 3.777 5.503 14.125 90.00 97.70 90.00
Space group P2_1/m (No. 11)
Unique sites:
Pm1 0.151 0.250 0.300 x2
Y1 0.045 0.750 0.091 x2
Y2 0.237 0.750 0.474 x2
Mg1 0.360 0.250 0.719 x2
Mg2 0.449 0.750 0.898 x2

---

Number 1: DFT formation energy 27.6 meV per atom. Number 2: DFT formation energy 28.0 meV per atom. Number 3: DFT formation energy 135.6 meV per atom. Number 4: DFT formation energy 171.1 meV per atom. Number 5: DFT formation energy 621.1 meV per atom. Number 6: DFT formation energy 100.0 meV per atom. Number 7: DFT formation energy 29.4 meV per atom. Number 8: DFT formation energy -91.5 meV per atom. Number 9: DFT formation energy 11.6 meV per atom. Number 10: DFT formation energy 50.9 meV per atom. Number 11: DFT formation energy 0.0 meV per atom. Number 12: DFT formation energy -108.5 meV per atom. Number 13: DFT formation energy 29.2 meV per atom. Number 14: DFT formation energy 225.3 meV per atom. Number 15: DFT formation energy -94.5 meV per atom. Number 16: DFT formation energy -47.6 meV per atom. Number 17: DFT formation energy -53.9 meV per atom. Number 18: DFT formation energy 48.5 meV per atom. Number 19: DFT formation energy 179.3 meV per atom. Number 20: DFT formation energy -82.4 meV per atom.